Entry 1:
Here is InIrCl2 after structural relaxation from Alexandria. Energies are from PBEsol.

Values from the calculation:
Polymorph energy (0 for the lowest one)   1.94 eV/f.u.
Uncorrected formation energy   0.28 eV per atom

Structure (CIF):
```
data_InIrCl2
_chemical_formula_sum 'In1 Ir1 Cl2'
_symmetry_space_group_name_H-M 'P m m m'
_symmetry_Int_Tables_number 47
_cell_length_a 3.0397
_cell_length_b 4.3888
_cell_length_c 5.2750
_cell_angle_alpha 90.00
_cell_angle_beta 90.00
_cell_angle_gamma 90.00
loop_
_symmetry_equiv_pos_as_xyz
'x,y,z'
'-x,-y,-z'
'-x,-y,z'
'x,y,-z'
'x,-y,-z'
'-x,y,z'
'-x,y,-z'
'x,-y,z'
loop_
_atom_site_label
_atom_site_fract_x
_atom_site_fract_y
_atom_site_fract_z
In1 0.0000 0.0000 0.0000
Ir1 0.5000 0.0000 0.5000
Cl1 0.0000 0.5000 0.5000
Cl2 0.5000 0.5000 0.0000
```



Entry 2:
Here is In2IrCl after structural relaxation from Alexandria. Energies are from PBEsol.

Values from the calculation:
Uncorrected formation energy   0.22 eV per atom

Structure (CIF):
```
data_In2IrCl
_chemical_formula_sum 'In2 Ir1 Cl1'
_symmetry_space_group_name_H-M 'P 4 m m'
_symmetry_Int_Tables_number 99
_cell_length_a 3.1853
_cell_length_b 3.1853
_cell_length_c 7.9410
_cell_angle_alpha 90.00
_cell_angle_beta 90.00
_cell_angle_gamma 90.00
loop_
_symmetry_equiv_pos_as_xyz
'x,y,z'
'-y,x,z'
'-x,-y,z'
'y,-x,z'
'-x,y,z'
'y,x,z'
'x,-y,z'
'-y,-x,z'
loop_
_atom_site_label
_atom_site_fract_x
_atom_site_fract_y
_atom_site_fract_z
In1 0.0000 0.0000 0.0000
In2 0.5000 0.5000 0.3146
Ir1 0.0000 0.0000 0.4977
Cl1 0.5000 0.5000 0.7382
```



Entry 3:
Here is InIrCl2 after structural relaxation from Alexandria. Energies are from PBEsol.

Values from the calculation:
Polymorph energy (0 for the lowest one)   1.07 eV/f.u.
Uncorrected formation energy   0.06 eV per atom

Structure (CIF):
```
data_InIrCl2
_chemical_formula_sum 'In3 Ir3 Cl6'
_symmetry_space_group_name_H-M 'R -3 m'
_symmetry_Int_Tables_number 166
_symmetry_space_group_name_Hall '-R 3 2"'
_cell_length_a 3.0336
_cell_length_b 3.0336
_cell_length_c 28.4829
_cell_angle_alpha 90.00
_cell_angle_beta 90.00
_cell_angle_gamma 120.00
loop_
_atom_site_label
_atom_site_fract_x
_atom_site_fract_y
_atom_site_fract_z
In1 0.0000 0.0000 0.0000
Ir1 0.0000 0.0000 0.5000
Cl1 0.0000 0.0000 0.4218
```



Entry 4:
Here is InIrCl2 after structural relaxation from Alexandria. Energies are from PBEsol.

Values from the calculation:
Polymorph energy (0 for the lowest one)   0.00 eV/f.u.
Uncorrected formation energy   -0.21 eV per atom

Structure (CIF):
```
data_InIrCl2
_chemical_formula_sum 'In2 Ir2 Cl4'
_symmetry_space_group_name_H-M 'C 1 m 1'
_symmetry_Int_Tables_number 8
_cell_length_a 7.2171
_cell_length_b 3.1661
_cell_length_c 8.8148
_cell_angle_alpha 90.00
_cell_angle_beta 113.96
_cell_angle_gamma 90.00
loop_
_symmetry_equiv_pos_as_xyz
'x,y,z'
'x,-y,z'
'x+1/2,y+1/2,z'
'x+1/2,-y+1/2,z'
loop_
_atom_site_label
_atom_site_fract_x
_atom_site_fract_y
_atom_site_fract_z
In1 0.0000 0.0000 0.0000
Ir1 0.1111 0.5000 0.8001
Cl1 0.0619 0.0000 0.6017
Cl2 0.0620 0.5000 0.2406
```



Entry 5:
Here is KIn2Cl after structural relaxation from Alexandria. Energies are from PBEsol.

Values from the calculation:
Polymorph energy (0 for the lowest one)   0.17 eV/f.u.
Uncorrected formation energy   -0.62 eV per atom

Structure (CIF):
```
data_KIn2Cl
_chemical_formula_sum 'K2 In4 Cl2'
_symmetry_space_group_name_H-M 'I m m m'
_symmetry_Int_Tables_number 71
_symmetry_space_group_name_Hall '-I 2 2'
_cell_length_a 3.8332
_cell_length_b 4.6447
_cell_length_c 13.3308
_cell_angle_alpha 90.00
_cell_angle_beta 90.00
_cell_angle_gamma 90.00
loop_
_atom_site_label
_atom_site_fract_x
_atom_site_fract_y
_atom_site_fract_z
K1 0.0000 0.0000 0.0000
In1 0.0000 0.5000 0.2359
Cl1 0.0000 0.0000 0.5000
```



Entry 6:
Here is KInCl2 after structural relaxation from Alexandria. Energies are from PBEsol.

Values from the calculation:
Polymorph energy (0 for the lowest one)   0.05 eV/f.u.
Uncorrected formation energy   -1.32 eV per atom

Structure (CIF):
```
data_KInCl2
_chemical_formula_sum 'K2 In2 Cl4'
_symmetry_space_group_name_H-M 'A m m 2'
_symmetry_Int_Tables_number 38
_cell_length_a 4.6852
_cell_length_b 4.0849
_cell_length_c 11.9044
_cell_angle_alpha 90.00
_cell_angle_beta 90.00
_cell_angle_gamma 90.00
loop_
_symmetry_equiv_pos_as_xyz
'x,y,z'
'-x,-y,z'
'-x,y,z'
'x,-y,z'
'x,y+1/2,z+1/2'
'-x,-y+1/2,z+1/2'
'-x,y+1/2,z+1/2'
'x,-y+1/2,z+1/2'
loop_
_atom_site_label
_atom_site_fract_x
_atom_site_fract_y
_atom_site_fract_z
K1 0.0000 0.0000 0.0000
In1 0.5000 0.0000 0.2338
Cl1 0.0000 0.0000 0.7377
Cl2 0.5000 0.0000 0.4632
```